Material: MgIn4Ga5
Method: DFT, PBE
State: optimized geometry

Output
As for the space group: Pmmn (59). The density of states at the Fermi level is 4.7 states/eV/f.u. The total energy is -2.75 eV per atom.

Lattice parameters (Å, degrees): 9.1005 9.3432 5.3673 90.00 90.00 90.00
Fractional coordinates of all 20 atoms:
Mg1 0.2500 0.2500 0.1851
Mg2 0.7500 0.7500 0.8149
In1 0.0708 0.7500 0.5986
In2 0.2500 0.0727 0.6981
In3 0.2500 0.4273 0.6981
In4 0.4292 0.7500 0.5986
In5 0.5708 0.2500 0.4014
In6 0.7500 0.5727 0.3019
In7 0.7500 0.9273 0.3019
In8 0.9292 0.2500 0.4014
Ga1 0.0824 0.5190 0.2081
Ga2 0.0824 0.9810 0.2081
Ga3 0.2500 0.7500 0.0665
Ga4 0.4176 0.5190 0.2081
Ga5 0.4176 0.9810 0.2081
Ga6 0.5824 0.0190 0.7919
Ga7 0.5824 0.4810 0.7919
Ga8 0.7500 0.2500 0.9335
Ga9 0.9176 0.0190 0.7919
Ga10 0.9176 0.4810 0.7919


Material: MgIn3Ga4
Method: DFT, PBE
State: optimized geometry

Output
As for the space group: C2/m (12). The density of states at the Fermi level is 3.0 states/eV/f.u. The total energy is -2.72 eV per atom.

Lattice parameters (Å, degrees): 21.8902 3.0293 5.6130 90.00 101.50 90.00
Fractional coordinates of all 16 atoms:
Mg1 0.0000 0.0000 0.0000
Mg2 0.5000 0.5000 0.0000
In1 0.0000 0.5000 0.5000
In2 0.1498 0.5000 0.7543
In3 0.3502 0.0000 0.2457
In4 0.5000 0.0000 0.5000
In5 0.6498 0.0000 0.7543
In6 0.8502 0.5000 0.2457
Ga1 0.1087 0.5000 0.2245
Ga2 0.2175 0.0000 0.2719
Ga3 0.2825 0.5000 0.7281
Ga4 0.3913 0.0000 0.7755
Ga5 0.6087 0.0000 0.2245
Ga6 0.7175 0.5000 0.2719
Ga7 0.7825 0.0000 0.7281
Ga8 0.8913 0.5000 0.7755


Material: Mg4In5Ga
Method: DFT, PBE
State: optimized geometry

Output
The calculation puts the energy above the most stable polymorph in this dataset at 13 meV per atom. As for the space group: P4/mmm (123). The density of states at the Fermi level is 2.5 states/eV/f.u.

Lattice parameters (Å, degrees): 3.4235 3.4235 20.0080 90.00 90.00 90.00
Fractional coordinates of all 10 atoms:
Mg1 0.0000 0.0000 0.1002
Mg2 0.0000 0.0000 0.2999
Mg3 0.0000 0.0000 0.7001
Mg4 0.0000 0.0000 0.8998
In1 0.5000 0.5000 0.0000
In2 0.5000 0.5000 0.1996
In3 0.5000 0.5000 0.4022
In4 0.5000 0.5000 0.5978
In5 0.5000 0.5000 0.8004
Ga1 0.0000 0.0000 0.5000


Material: Mg5In2Ga2
Method: DFT, PBE
State: optimized geometry

Output
The calculation puts the energy above the most stable polymorph in this dataset at 54 meV per atom. As for the space group: Ima2 (46). The density of states at the Fermi level is 4.2 states/eV/f.u.

Lattice parameters (Å, degrees): 9.7544 9.7544 9.7544 61.47 136.11 139.19
Fractional coordinates of all 18 atoms:
Mg1 0.2173 0.6484 0.8820
Mg2 0.2173 0.8353 0.0688
Mg3 0.2202 0.1139 0.3341
Mg4 0.2202 0.3861 0.6064
Mg5 0.6741 0.4718 0.7023
Mg6 0.7665 0.1484 0.9312
Mg7 0.7665 0.3353 0.1180
Mg8 0.7695 0.9718 0.2977
Mg9 0.7798 0.6139 0.3936
Mg10 0.7798 0.8861 0.6659
In1 0.2266 0.0161 0.7105
In2 0.2833 0.2833 0.0000
In3 0.2833 0.7833 0.5000
In4 0.3056 0.5161 0.2895
Ga1 0.6717 0.1404 0.3875
Ga2 0.6717 0.7842 0.0313
Ga3 0.7529 0.2842 0.6125
Ga4 0.7529 0.6404 0.9687


Material: MgInGa
Method: DFT, PBE
State: optimized geometry

Output
As for the space group: P2_1/c (14). The density of states at the Fermi level is 1.0 states/eV/f.u. The total energy is -2.50 eV per atom.

Lattice parameters (Å, degrees): 5.6824 9.4331 5.4784 90.00 112.07 90.00
Fractional coordinates of all 12 atoms:
Mg1 0.1931 0.0002 0.3348
Mg2 0.1931 0.4998 0.8348
Mg3 0.8069 0.9998 0.6652
Mg4 0.8069 0.5002 0.1652
In1 0.4991 0.1601 0.9967
In2 0.4991 0.3399 0.4967
In3 0.5009 0.6601 0.5033
In4 0.5009 0.8399 0.0033
Ga1 0.0005 0.7484 0.0011
Ga2 0.0005 0.7516 0.5011
Ga3 0.9995 0.2484 0.4989
Ga4 0.9995 0.2516 0.9989


Material: MgInGa3
Method: DFT, PBE
State: optimized geometry

Output
The calculation puts the energy above the most stable polymorph in this dataset at 434 meV per atom. As for the space group: Pm-3m (221). The density of states at the Fermi level is 3.7 states/eV/f.u.

Lattice parameters (Å, degrees): 5.1365 5.1365 5.1365 90.00 90.00 90.00
Fractional coordinates of all 5 atoms:
Mg1 0.0000 0.0000 0.0000
In1 0.5000 0.5000 0.5000
Ga1 0.0000 0.0000 0.5000
Ga2 0.0000 0.5000 0.0000
Ga3 0.5000 0.0000 0.0000


Material: Mg2InGa6
Method: DFT, PBE
State: optimized geometry

Output
The calculation puts the energy above the most stable polymorph in this dataset at 0 meV per atom. As for the space group: C2/m (12). The density of states at the Fermi level is 2.4 states/eV/f.u.

Lattice parameters (Å, degrees): 7.5519 7.5519 4.1007 105.54 105.54 56.67
Fractional coordinates of all 9 atoms:
Mg1 0.1223 0.1223 0.1216
Mg2 0.8777 0.8777 0.8784
In1 0.5000 0.5000 0.0000
Ga1 0.1232 0.4989 0.3107
Ga2 0.1845 0.8155 0.5000
Ga3 0.4989 0.1232 0.3107
Ga4 0.5011 0.8768 0.6893
Ga5 0.8155 0.1845 0.5000
Ga6 0.8768 0.5011 0.6893


Material: MgInGa3
Method: DFT, PBE
State: optimized geometry

Output
The calculation puts the energy above the most stable polymorph in this dataset at 52 meV per atom. As for the space group: Cmcm (63). The density of states at the Fermi level is 1.5 states/eV/f.u.

Lattice parameters (Å, degrees): 7.6494 7.6494 5.2915 90.00 90.00 133.64
Fractional coordinates of all 10 atoms:
Mg1 0.1805 0.8195 0.7500
Mg2 0.8195 0.1805 0.2500
In1 0.3298 0.6702 0.2500
In2 0.6702 0.3298 0.7500
Ga1 0.0000 0.0000 0.0000
Ga2 0.0000 0.0000 0.5000
Ga3 0.1186 0.3945 0.7500
Ga4 0.3945 0.1186 0.2500
Ga5 0.6055 0.8814 0.7500
Ga6 0.8814 0.6055 0.2500